Entry 1:
This record from the Open Quantum Materials Database describes a relaxed structure of TmMgAsO. The functional is PBE-GGA.

abc: 4.013 4.013 8.874
angles: 90.00 90.00 90.00
Positions (direct):
Tm  0.250  0.250  0.112
Tm  0.750  0.750  0.888
Mg  0.250  0.750  0.500
Mg  0.750  0.250  0.500
As  0.250  0.250  0.691
As  0.750  0.750  0.309
O  0.250  0.750  0.000
O  0.750  0.250  0.000

Calculated values
Uncorrected energy   -5.860 eV per atom
Energy above the most stable polymorph in this dataset   0.0000 eV per atom
Magnetic moment   0.00 μB per formula unit



Entry 2:
This record from the Open Quantum Materials Database describes a relaxed structure of MgZrAsO. The functional is PBE-GGA.

abc: 3.626 6.320 6.274
angles: 90.00 90.00 90.00
Positions (direct):
Mg  0.000  0.128  0.000
Mg  0.000  0.872  0.500
Zr  0.500  0.480  0.684
Zr  0.500  0.520  0.184
As  0.000  0.274  0.417
As  0.000  0.726  0.917
O  0.500  0.259  0.942
O  0.500  0.741  0.442

Calculated values
Uncorrected energy   -6.567 eV per atom
Energy above the most stable polymorph in this dataset   0.0000 eV per atom
Magnetic moment   0.00 μB per formula unit



Entry 3:
This record from the Open Quantum Materials Database describes a relaxed structure of MgZrAsO. The functional is PBE-GGA.

abc: 3.855 3.855 8.599
angles: 90.00 90.00 90.00
Positions (direct):
Mg  0.250  0.750  0.000
Mg  0.750  0.250  0.000
Zr  0.250  0.250  0.370
Zr  0.750  0.750  0.630
As  0.250  0.250  0.790
As  0.750  0.750  0.210
O  0.250  0.750  0.500
O  0.750  0.250  0.500

Calculated values
Uncorrected energy   -6.379 eV per atom
Energy above the most stable polymorph in this dataset   0.1883 eV per atom
Magnetic moment   0.01 μB per formula unit



Entry 4:
This record from the Open Quantum Materials Database describes a relaxed structure of MgZrAsO. The functional is PBE-GGA.

abc: 4.095 6.007 5.626
angles: 90.00 90.00 90.00
Positions (direct):
Mg  0.000  0.007  0.000
Mg  0.000  0.993  0.500
Zr  0.500  0.334  0.257
Zr  0.500  0.666  0.757
As  0.500  0.215  0.755
As  0.500  0.785  0.255
O  0.000  0.244  0.256
O  0.000  0.756  0.756

Calculated values
Uncorrected energy   -6.542 eV per atom
Energy above the most stable polymorph in this dataset   0.0252 eV per atom
Magnetic moment   0.00 μB per formula unit



Entry 5:
This record from the Open Quantum Materials Database describes a relaxed structure of MgZrAsO. The functional is PBE-GGA.

abc: 4.248 4.248 9.231
angles: 90.00 90.00 90.00
Positions (direct):
Mg  0.250  0.250  0.004
Mg  0.750  0.750  0.996
Zr  0.250  0.750  0.500
Zr  0.750  0.250  0.500
As  0.250  0.250  0.673
As  0.750  0.750  0.327
O  0.250  0.750  0.000
O  0.750  0.250  0.000

Calculated values
Uncorrected energy   -6.133 eV per atom
Energy above the most stable polymorph in this dataset   0.4339 eV per atom
Magnetic moment   0.14 μB per formula unit



Entry 6:
This record from the Open Quantum Materials Database describes a relaxed structure of MgTlAsOs. The functional is PBE-GGA.

abc: 4.671 4.671 4.671
angles: 60.00 60.00 60.00
Positions (direct):
Mg  0.000  0.000  0.000
Tl  0.250  0.250  0.250
As  0.750  0.750  0.750
Os  0.500  0.500  0.500

Calculated values
Uncorrected energy   -4.488 eV per atom
Energy above the most stable polymorph in this dataset   0.0000 eV per atom
Magnetic moment   0.00 μB per formula unit



Entry 7:
This record from the Open Quantum Materials Database describes a relaxed structure of MgPaAs. The functional is PBE-GGA.

abc: 4.884 4.884 4.884
angles: 60.00 60.00 60.00
Positions (direct):
Mg  0.000  0.000  0.000
Pa  0.750  0.750  0.750
As  0.500  0.500  0.500

Calculated values
Uncorrected energy   -4.952 eV per atom
Magnetic moment   1.63 μB per formula unit



Entry 8:
This record from the Open Quantum Materials Database describes a relaxed structure of MgTcAsPb. The functional is PBE-GGA.

abc: 4.729 4.729 4.729
angles: 60.00 60.00 60.00
Positions (direct):
Mg  0.000  0.000  0.000
Tc  0.500  0.500  0.500
As  0.750  0.750  0.750
Pb  0.250  0.250  0.250

Calculated values
Uncorrected energy   -4.764 eV per atom
Energy above the most stable polymorph in this dataset   0.0000 eV per atom
Magnetic moment   0.00 μB per formula unit



Entry 9:
This record from the Open Quantum Materials Database describes a relaxed structure of MgAsPd2. The functional is PBE-GGA.

abc: 4.510 4.510 4.510
angles: 60.00 60.00 60.00
Positions (direct):
Mg  0.000  0.000  0.000
As  0.750  0.750  0.750
Pd  0.250  0.250  0.250
Pd  0.500  0.500  0.500

Calculated values
Uncorrected energy   -4.513 eV per atom



Entry 10:
This record from the Open Quantum Materials Database describes a relaxed structure of Mg2AsPd. The functional is PBE-GGA.

abc: 4.648 4.648 4.648
angles: 60.00 60.00 60.00
Positions (direct):
Mg  0.000  0.000  0.000
Mg  0.250  0.250  0.250
As  0.500  0.500  0.500
Pd  0.750  0.750  0.750

Calculated values
Uncorrected energy   -3.530 eV per atom



Entry 11:
This record from the Open Quantum Materials Database describes a relaxed structure of MgAsPd4Pt. The functional is PBE-GGA.

abc: 3.991 3.991 7.050
angles: 90.00 90.00 90.00
Positions (direct):
Mg  0.000  0.000  0.000
As  0.500  0.500  0.500
Pd  0.000  0.500  0.285
Pd  0.000  0.500  0.715
Pd  0.500  0.000  0.285
Pd  0.500  0.000  0.715
Pt  0.500  0.500  0.000

Calculated values
Uncorrected energy   -5.237 eV per atom
Magnetic moment   0.00 μB per formula unit



Entry 12:
This record from the Open Quantum Materials Database describes a relaxed structure of MgAsPdPt4. The functional is PBE-GGA.

abc: 3.981 3.981 7.184
angles: 90.00 90.00 90.00
Positions (direct):
Mg  0.000  0.000  0.000
As  0.500  0.500  0.500
Pd  0.500  0.500  0.000
Pt  0.000  0.500  0.280
Pt  0.000  0.500  0.720
Pt  0.500  0.000  0.280
Pt  0.500  0.000  0.720

Calculated values
Uncorrected energy   -5.579 eV per atom
Magnetic moment   0.00 μB per formula unit



Which calculated volume belongs to each record? In order, 17.860 17.973 15.975 17.298 20.821 18.011 27.458 18.696 16.218 17.747 16.043 16.266 A^3/atom.